This record from Alexandria via LeMat-Bulk describes a relaxed LaCuTc2 crystal. The functional is PBE.

a = 3.956 Å, b = 3.956 Å, c = 4.638 Å
α = 90.00°, β = 90.00°, γ = 90.00°
Fractional coordinates of all 4 atoms:
La: 0.000 0.000 0.000
Cu: 0.500 0.500 0.000
Tc: 0.000 0.500 0.500
Tc: 0.500 0.000 0.500

Results
E_form: 0.52 eV per atom
SG: P4/mmm (123)
Density of states at the Fermi level: 1.208 states/eV per atom
Calculated density: 9.12 g/cm3
Total energy: -6.92 eV/atom